Below is a relaxed RbIrPdCl6 crystal, with properties calculated at the PBE level.

Structure (extended XYZ):
```
9
Lattice="6.468 0.000 0.000 -3.234 5.601 0.000 0.000 0.000 7.365" Properties=species:S:1:pos:R:3 pbc="T T T"
Rb 0.000 0.000 0.000
Ir 0.000 3.734 3.683
Pd 3.234 1.867 3.683
Cl -1.059 2.098 2.347
Cl -1.947 3.635 5.018
Cl 1.059 2.098 5.018
Cl -0.888 5.470 2.347
Cl 1.947 3.635 2.347
Cl 0.888 5.470 5.018
```

Raw formation energy ... -0.76 eV per atom